# Mg3CdN (GGA-PBE, optimized geometry)
# **Volume**: 26.9 Å³ per atom
# **Energy relative to the lowest polymorph listed for this composition**: 1.653 eV per atom
# **Fermi-level density of states**: 5.78 states/eV/f.u.
data_Mg3CdN
_symmetry_space_group_name_H-M 'P m -3 m'
_symmetry_Int_Tables_number 221
_symmetry_space_group_name_Hall '-P 4 2 3'
_cell_length_a 5.1255
_cell_length_b 5.1255
_cell_length_c 5.1255
_cell_angle_alpha 90.00
_cell_angle_beta 90.00
_cell_angle_gamma 90.00
loop_
_atom_site_label
_atom_site_fract_x
_atom_site_fract_y
_atom_site_fract_z
Mg1 0.0000 0.0000 0.5000
Cd1 0.0000 0.0000 0.0000
N1 0.5000 0.5000 0.5000



# Pr2Nd12Tl5 (GGA-PBE, optimized geometry)
# **Volume**: 33.2 Å³ per atom
# **E_form**: -0.09 eV/atom
# **Fermi-level density of states**: 25.61 states/eV/f.u.
data_Pr2Nd12Tl5
_symmetry_space_group_name_H-M 'C 1 2/m 1'
_symmetry_Int_Tables_number 12
_cell_length_a 14.2556
_cell_length_b 10.0445
_cell_length_c 8.8688
_cell_angle_alpha 90.00
_cell_angle_beta 96.26
_cell_angle_gamma 90.00
loop_
_symmetry_equiv_pos_as_xyz
'x,y,z'
'-x,-y,-z'
'-x,y,-z'
'x,-y,z'
'x+1/2,y+1/2,z'
'-x+1/2,-y+1/2,-z'
'-x+1/2,y+1/2,-z'
'x+1/2,-y+1/2,z'
loop_
_atom_site_label
_atom_site_fract_x
_atom_site_fract_y
_atom_site_fract_z
Pr1 0.0000 0.1637 0.0000
Nd1 0.0895 0.0000 0.6710
Nd2 0.0929 0.5000 0.1475
Nd3 0.1198 0.2058 0.3662
Nd4 0.1523 0.3142 0.7983
Tl1 0.0000 0.5000 0.5000
Tl2 0.1998 0.0000 0.0064
Tl3 0.2177 0.5000 0.4973



# Eu2LuZn (GGA-PBE, optimized geometry)
# **Volume**: 31.7 Å³ per atom
# **E_form**: 0.22 eV/atom
# **Energy relative to the lowest polymorph listed for this composition**: 0.261 eV per atom
# **Fermi-level density of states**: 5.80 states/eV/f.u.
data_Eu2LuZn
_symmetry_space_group_name_H-M 'R -3 m'
_symmetry_Int_Tables_number 166
_symmetry_space_group_name_Hall '-R 3 2"'
_cell_length_a 3.5493
_cell_length_b 3.5493
_cell_length_c 34.9219
_cell_angle_alpha 90.00
_cell_angle_beta 90.00
_cell_angle_gamma 120.00
loop_
_atom_site_label
_atom_site_fract_x
_atom_site_fract_y
_atom_site_fract_z
Eu1 0.0000 0.0000 0.0968
Lu1 0.0000 0.0000 0.0000
Zn1 0.0000 0.0000 0.5000



# AlHBr2 (GGA-PBE, optimized geometry)
# **DFT total energy**: -2.413 eV/atom
# **Volume**: 21.9 Å³ per atom
# **Fermi-level density of states**: 0.00 states/eV/f.u.
data_AlHBr2
_symmetry_space_group_name_H-M 'I -4 2 d'
_symmetry_Int_Tables_number 122
_symmetry_space_group_name_Hall 'I -4 2bw'
_cell_length_a 6.9196
_cell_length_b 6.9196
_cell_length_c 7.3128
_cell_angle_alpha 90.00
_cell_angle_beta 90.00
_cell_angle_gamma 90.00
loop_
_atom_site_label
_atom_site_fract_x
_atom_site_fract_y
_atom_site_fract_z
Al1 0.0000 0.0000 0.0000
H1 0.0000 0.0000 0.5000
Br1 0.2191 0.2500 0.1250



# Y4Ho4Er5 (GGA-PBE, optimized geometry)
# **Volume**: 31.1 Å³ per atom
# **E_form**: 0.02 eV/atom
# **Fermi-level density of states**: 18.14 states/eV/f.u.
data_Y4Ho4Er5
_symmetry_space_group_name_H-M 'I 4/m'
_symmetry_Int_Tables_number 87
_symmetry_space_group_name_Hall '-I 4'
_cell_length_a 12.7406
_cell_length_b 12.7406
_cell_length_c 4.9872
_cell_angle_alpha 90.00
_cell_angle_beta 90.00
_cell_angle_gamma 90.00
loop_
_atom_site_label
_atom_site_fract_x
_atom_site_fract_y
_atom_site_fract_z
Y1 0.1532 0.2302 0.0000
Ho1 0.0767 0.6147 0.0000
Er1 0.0000 0.0000 0.0000
Er2 0.0379 0.8080 0.5000



# Y2ZnNi (GGA-PBE, optimized geometry)
# **Volume**: 19.5 Å³ per atom
# **E_form**: -0.05 eV/atom
# **Fermi-level density of states**: 0.84 states/eV/f.u.
data_Y2ZnNi
_symmetry_space_group_name_H-M 'F -4 3 m'
_symmetry_Int_Tables_number 216
_symmetry_space_group_name_Hall 'F -4 2 3'
_cell_length_a 6.7832
_cell_length_b 6.7832
_cell_length_c 6.7832
_cell_angle_alpha 90.00
_cell_angle_beta 90.00
_cell_angle_gamma 90.00
loop_
_atom_site_label
_atom_site_fract_x
_atom_site_fract_y
_atom_site_fract_z
Y1 0.0000 0.0000 0.0000
Y2 0.2500 0.2500 0.2500
Zn1 0.0000 0.0000 0.5000
Ni1 0.2500 0.2500 0.7500



# BaTaAs2 (GGA-PBE, optimized geometry)
# **Volume**: 22.4 Å³ per atom
# **E_form**: -0.43 eV/atom
# **Energy relative to the lowest polymorph listed for this composition**: 0.188 eV per atom
# **Fermi-level density of states**: 3.07 states/eV/f.u.
data_BaTaAs2
_symmetry_space_group_name_H-M 'P m m m'
_symmetry_Int_Tables_number 47
_cell_length_a 3.3965
_cell_length_b 3.4080
_cell_length_c 7.7394
_cell_angle_alpha 90.00
_cell_angle_beta 90.00
_cell_angle_gamma 90.00
loop_
_symmetry_equiv_pos_as_xyz
'x,y,z'
'-x,-y,-z'
'-x,-y,z'
'x,y,-z'
'x,-y,-z'
'-x,y,z'
'-x,y,-z'
'x,-y,z'
loop_
_atom_site_label
_atom_site_fract_x
_atom_site_fract_y
_atom_site_fract_z
Ba1 0.0000 0.0000 0.0000
Ta1 0.0000 0.0000 0.5000
As1 0.5000 0.5000 0.3104



# YCrRe3 (GGA-PBE, optimized geometry)
# **Volume**: 21.0 Å³ per atom
# **E_form**: 3.45 eV/atom
# **Energy relative to the lowest polymorph listed for this composition**: 2.510 eV per atom
# **Fermi-level density of states**: 12.11 states/eV/f.u.
data_YCrRe3
_symmetry_space_group_name_H-M 'P m -3 m'
_symmetry_Int_Tables_number 221
_symmetry_space_group_name_Hall '-P 4 2 3'
_cell_length_a 4.7158
_cell_length_b 4.7158
_cell_length_c 4.7158
_cell_angle_alpha 90.00
_cell_angle_beta 90.00
_cell_angle_gamma 90.00
loop_
_atom_site_label
_atom_site_fract_x
_atom_site_fract_y
_atom_site_fract_z
Y1 0.0000 0.0000 0.0000
Cr1 0.5000 0.5000 0.5000
Re1 0.0000 0.0000 0.5000



# Al3IrRh2 (GGA-PBE, optimized geometry)
# **Volume**: 13.6 Å³ per atom
# **E_form**: -1.04 eV/atom
# **Fermi-level density of states**: 1.61 states/eV/f.u.
data_Al3IrRh2
_symmetry_space_group_name_H-M 'P 4/m m m'
_symmetry_Int_Tables_number 123
_symmetry_space_group_name_Hall '-P 4 2'
_cell_length_a 3.0073
_cell_length_b 3.0073
_cell_length_c 9.0237
_cell_angle_alpha 90.00
_cell_angle_beta 90.00
_cell_angle_gamma 90.00
loop_
_atom_site_label
_atom_site_fract_x
_atom_site_fract_y
_atom_site_fract_z
Al1 0.0000 0.0000 0.0000
Al2 0.0000 0.0000 0.3310
Ir1 0.5000 0.5000 0.5000
Rh1 0.5000 0.5000 0.1660



# CaCdBi2Au (GGA-PBE, optimized geometry)
# **Volume**: 39.3 Å³ per atom
# **E_form**: 0.72 eV/atom
# **Fermi-level density of states**: 4.57 states/eV/f.u.
data_CaCdBi2Au
_symmetry_space_group_name_H-M 'P 4/m m m'
_symmetry_Int_Tables_number 123
_symmetry_space_group_name_Hall '-P 4 2'
_cell_length_a 5.8655
_cell_length_b 5.8655
_cell_length_c 5.7070
_cell_angle_alpha 90.00
_cell_angle_beta 90.00
_cell_angle_gamma 90.00
loop_
_atom_site_label
_atom_site_fract_x
_atom_site_fract_y
_atom_site_fract_z
Ca1 0.0000 0.0000 0.0000
Cd1 0.0000 0.0000 0.5000
Bi1 0.0000 0.5000 0.0000
Au1 0.5000 0.5000 0.5000



# ScMoSe2 (GGA-PBE, optimized geometry)
# **Volume**: 19.4 Å³ per atom
# **Energy relative to the lowest polymorph listed for this composition**: 0.418 eV per atom
# **Fermi-level density of states**: 2.87 states/eV/f.u.
data_ScMoSe2
_symmetry_space_group_name_H-M 'P 1 2/m 1'
_symmetry_Int_Tables_number 10
_cell_length_a 3.4164
_cell_length_b 4.0147
_cell_length_c 5.6495
_cell_angle_alpha 90.00
_cell_angle_beta 91.40
_cell_angle_gamma 90.00
loop_
_symmetry_equiv_pos_as_xyz
'x,y,z'
'-x,-y,-z'
'-x,y,-z'
'x,-y,z'
loop_
_atom_site_label
_atom_site_fract_x
_atom_site_fract_y
_atom_site_fract_z
Sc1 0.0000 0.0000 0.0000
Mo1 0.5000 0.0000 0.5000
Se1 0.3434 0.5000 0.7472



# Zr2HgCl (GGA-PBE, optimized geometry)
# **Volume**: 22.4 Å³ per atom
# **Energy relative to the lowest polymorph listed for this composition**: 0.210 eV per atom
# **Fermi-level density of states**: 3.65 states/eV/f.u.
data_Zr2HgCl
_symmetry_space_group_name_H-M 'P m m 2'
_symmetry_Int_Tables_number 25
_cell_length_a 3.3140
_cell_length_b 3.8060
_cell_length_c 7.0886
_cell_angle_alpha 90.00
_cell_angle_beta 90.00
_cell_angle_gamma 90.00
loop_
_symmetry_equiv_pos_as_xyz
'x,y,z'
'-x,-y,z'
'-x,y,z'
'x,-y,z'
loop_
_atom_site_label
_atom_site_fract_x
_atom_site_fract_y
_atom_site_fract_z
Zr1 0.0000 0.0000 0.0000
Zr2 0.5000 0.5000 0.2753
Hg1 0.5000 0.5000 0.7579
Cl1 0.0000 0.0000 0.3918